The following is a PBE calculation of a relaxed structure of La5SmPb6, from Alexandria.

## Properties
* magnetization: 0.007 μB/cell
* DFT formation energy: -572 meV/atom

Lattice parameters (Å, degrees): 8.201 8.201 9.319 90.00 90.00 143.37
Element x y z (fractional)
1 La 0.000 0.000 0.000
2 La 0.333 0.667 0.000
3 La 0.334 0.666 0.500
4 La 0.666 0.334 0.500
5 La 0.667 0.333 0.000
6 Sm 0.000 0.000 0.500
7 Pb 0.165 0.835 0.252
8 Pb 0.165 0.835 0.748
9 Pb 0.500 0.500 0.252
10 Pb 0.500 0.500 0.748
11 Pb 0.835 0.165 0.252
12 Pb 0.835 0.165 0.748